# PBE La8Ni2Hg, relaxed
# energy of formation from the pure elements = -0.1379 eV/atom
# volume = 30.77 Å³ per atom
# space-group type = No. 8
# N(E_F) = 14.16 states/eV per cell
# calculated total energy = -4.800 eV per atom
data_La8Ni2Hg
_chemical_formula_sum 'La8 Ni2 Hg1'
_symmetry_space_group_name_H-M 'P 1'
_symmetry_Int_Tables_number 1
_cell_length_a 8.250
_cell_length_b 8.250
_cell_length_c 5.811
_cell_angle_alpha 98.50
_cell_angle_beta 98.50
_cell_angle_gamma 116.87
loop_
_symmetry_equiv_pos_as_xyz
'x,y,z'
loop_
_atom_site_label
_atom_site_fract_x
_atom_site_fract_y
_atom_site_fract_z
_atom_site_occupancy
La1 0.000 0.000 0.000 1
La2 0.201 0.201 0.612 1
La3 0.261 0.509 0.242 1
La4 0.356 0.841 0.805 1
La5 0.509 0.261 0.242 1
La6 0.691 0.938 0.368 1
La7 0.841 0.356 0.805 1
La8 0.938 0.691 0.368 1
Ni1 0.314 0.887 0.307 1
Ni2 0.887 0.314 0.307 1
Hg1 0.601 0.601 0.805 1